1.
Below is LaTaTiO6 after structural relaxation, with properties calculated at the PBE level.

## Properties
The calculation puts the formation energy from raw total energies at -3.191 eV/atom. The calculation puts the volume at 115.6 Å³/f.u. Its excess energy over the best structure of this formula in the dataset is 0.000 eV per atom.

Cell: 5.477 7.603 11.102 Å, 90.00 90.00 90.00°
Fractional coordinates of all 36 atoms:
O 0.631 0.946 0.786
O 0.350 0.752 0.624
O 0.733 0.537 0.529
O 0.042 0.749 0.857
Ti 0.465 0.993 0.642
Ta 0.536 0.005 0.355
O 0.131 0.446 0.714
O 0.958 0.249 0.143
Ti 0.965 0.493 0.858
O 0.267 0.037 0.471
O 0.650 0.252 0.376
O 0.226 0.465 0.976
Ta 0.964 0.005 0.855
La 0.456 0.749 0.958
O 0.767 0.537 0.029
O 0.542 0.249 0.643
O 0.726 0.965 0.524
O 0.369 0.446 0.214
O 0.634 0.555 0.791
O 0.458 0.749 0.357
O 0.150 0.752 0.124
La 0.044 0.749 0.458
La 0.544 0.249 0.042
O 0.233 0.037 0.971
O 0.774 0.965 0.024
O 0.850 0.252 0.876
O 0.869 0.946 0.286
Ti 0.035 0.993 0.142
Ta 0.464 0.505 0.645
O 0.366 0.055 0.209
O 0.274 0.465 0.476
Ta 0.036 0.505 0.145
O 0.866 0.555 0.291
La 0.956 0.249 0.542
O 0.134 0.055 0.709
Ti 0.535 0.493 0.358


2.
Below is TbZn5Rh6 after structural relaxation, with properties calculated at the PBE level.

## Properties
The calculation puts the volume at 177.8 Å³/f.u.

Cell: 4.369 6.232 7.556 Å, 114.35 106.81 90.00°
Fractional coordinates of all 12 atoms:
Rh 0.500 0.727 0.000
Tb 0.000 0.000 0.000
Rh 0.173 0.436 0.346
Rh 0.173 0.910 0.346
Rh 0.500 0.273 0.000
Zn 0.671 0.671 0.342
Zn 0.000 0.500 0.000
Zn 0.662 0.162 0.324
Rh 0.827 0.564 0.654
Rh 0.827 0.090 0.654
Zn 0.329 0.329 0.658
Zn 0.338 0.838 0.676


3.
Below is Cd2Au2I after structural relaxation, with properties calculated at the PBE level.

## Properties
The calculation puts the formation energy from raw total energies at -0.003 eV/atom. The calculation puts the volume at 118.9 Å³/f.u. Its excess energy over the best structure of this formula in the dataset is 0.067 eV per atom.

Cell: 8.930 8.930 2.982 Å, 90.00 90.00 90.00°
Fractional coordinates of all 10 atoms:
Cd 0.184 0.316 0.000
Au 0.387 0.113 0.500
Au 0.613 0.887 0.500
Au 0.113 0.613 0.500
I 0.000 0.000 0.000
Au 0.887 0.387 0.500
Cd 0.816 0.684 0.000
Cd 0.684 0.184 0.000
Cd 0.316 0.816 0.000
I 0.500 0.500 0.000


4.
Below is PaGeSe3 after structural relaxation, with properties calculated at the PBE level.

## Properties
The calculation puts the formation energy from raw total energies at -0.870 eV/atom. The calculation puts the volume at 163.6 Å³/f.u. Its excess energy over the best structure of this formula in the dataset is 0.037 eV per atom.

Cell: 4.109 7.325 14.958 Å, 133.39 90.00 90.00°
Fractional coordinates of all 10 atoms:
Ge 0.750 0.994 0.877
Se 0.750 0.690 0.632
Se 0.250 0.746 0.855
Se 0.250 0.823 0.362
Pa 0.250 0.350 0.580
Pa 0.750 0.650 0.420
Ge 0.250 0.006 0.123
Se 0.750 0.254 0.145
Se 0.750 0.177 0.638
Se 0.250 0.310 0.368


5.
Below is BaLaAs2 after structural relaxation, with properties calculated at the PBE level.

## Properties
The calculation puts the volume at 123.5 Å³/f.u. Its excess energy over the best structure of this formula in the dataset is 0.134 eV per atom.

Cell: 6.428 6.428 4.768 Å, 94.82 94.82 38.99°
Fractional coordinates of all 4 atoms:
As 0.039 0.039 0.915
La 0.739 0.739 0.860
As 0.230 0.230 0.329
Ba 0.492 0.492 0.396


Total DFT energy (no corrections), record by record: -83.14 -60.72 -9.95 -28.92 -20.30 eV/f.u.